AlCoBr2: relaxed, PBE.

E above lowest polymorph (meV/atom): 53.9
Spin magnetization (μB/atom): 0.15
ΔE_f (raw) (eV/atom): -0.21
Final energy (eV/atom): -3.7571

abc: 3.5620 3.3887 7.8439
angles: 90.00 99.20 90.00
Last column: nearest neighbours and their distance in Å.
Sites, in units of the cell vectors:
Al (0.0000, 0.0000, 0.0000)  4 Co 2.49-2.50
Co (0.5181, 0.5000, 0.0571)  3 Br 2.35-2.46, 4 Al 2.49-2.50
Br (0.3038, 0.5000, 0.7572)  1 Co 2.35
Br (0.5880, 0.0000, 0.2869)  2 Co 2.46